[1]
Here is a crystal of Sr2SbIr relaxed with PBEsol from Alexandria. Energies are from SCAN.

Lattice parameters (Å, degrees): 5.092 5.092 5.092 60.00 60.00 60.00
Atoms (fractional coordinates):
Sr 0.000 0.000 0.000
Sr 0.750 0.750 0.750
Sb 0.250 0.250 0.250
Ir 0.500 0.500 0.500

Properties
Space group = F-43m (216)
Raw formation energy = -5.8 kcal/mol of atoms
Crystal system = cubic
Total magnetization = 0.000 μB per atom



[2]
Here is a crystal of CdRu2Br relaxed with PBEsol from Alexandria. Energies are from SCAN.

Lattice parameters (Å, degrees): 2.877 5.148 5.418 116.30 105.39 90.00
Atoms (fractional coordinates):
Ru 0.741 0.181 0.482
Ru 0.029 0.140 0.058
Br 0.462 0.453 0.923
Cd 0.268 0.726 0.536

Properties
Space group = Cm (8)
Raw formation energy = 16.0 kcal/mol of atoms
Crystal system = monoclinic
Total magnetization = 0.000 μB per atom



[3]
Here is a crystal of Sc2TlI relaxed with PBEsol from Alexandria. Energies are from SCAN.

Lattice parameters (Å, degrees): 5.098 5.098 5.098 60.00 60.00 60.00
Atoms (fractional coordinates):
Tl 0.500 0.500 0.500
Sc 0.750 0.750 0.750
Sc 0.250 0.250 0.250
I 0.000 0.000 0.000

Properties
Space group = Fm-3m (225)
Raw formation energy = -6.1 kcal/mol of atoms
Crystal system = cubic
Total magnetization = 0.000 μB per atom



[4]
Here is a crystal of SrCr2InTc relaxed with PBEsol from Alexandria. Energies are from SCAN.

Lattice parameters (Å, degrees): 5.034 5.034 5.861 90.00 90.00 90.00
Atoms (fractional coordinates):
Cr 0.000 0.500 0.000
Cr 0.500 0.000 0.000
In 0.000 0.000 0.000
Sr 0.000 0.000 0.500
Tc 0.500 0.500 0.500

Properties
Space group = P4/mmm (123)
Crystal system = tetragonal
DFT formation energy = 1.54 eV per atom
Total magnetization = 2.503 μB per atom



[5]
Here is a crystal of MgZn2Au relaxed with PBEsol from Alexandria. Energies are from SCAN.

Lattice parameters (Å, degrees): 4.117 4.117 4.721 115.86 115.86 90.00
Atoms (fractional coordinates):
Mg 0.250 0.750 0.500
Zn 0.000 0.000 0.000
Zn 0.750 0.250 0.500
Au 0.500 0.500 0.000

Properties
Space group = I-4m2 (119)
Crystal system = tetragonal
DFT formation energy = -0.34 eV per atom
Total magnetization = 0.000 μB per atom



[6]
Here is a crystal of Mg14MnCrO16 relaxed with PBEsol from Alexandria. Energies are from SCAN.

Lattice parameters (Å, degrees): 4.248 8.479 8.479 90.00 90.00 90.00
Atoms (fractional coordinates):
O 0.000 0.500 0.752
O 0.000 0.000 0.744
O 0.500 0.000 0.000
O 0.500 0.250 0.250
O 0.000 0.248 0.500
O 0.500 0.000 0.500
O 0.000 0.744 0.000
O 0.000 0.500 0.248
O 0.500 0.750 0.750
O 0.500 0.250 0.750
O 0.000 0.256 0.000
O 0.000 0.000 0.256
O 0.500 0.750 0.250
O 0.500 0.500 0.500
O 0.000 0.752 0.500
O 0.500 0.500 0.000
Mg 0.000 0.500 0.000
Mg 0.500 0.750 0.500
Mg 0.000 0.750 0.750
Mg 0.500 0.251 0.000
Mg 0.000 0.000 0.500
Mg 0.500 0.500 0.250
Mg 0.500 0.500 0.750
Mg 0.500 0.000 0.251
Mg 0.500 0.749 0.000
Mg 0.000 0.250 0.750
Mg 0.500 0.000 0.749
Mg 0.500 0.250 0.500
Mg 0.000 0.250 0.250
Mg 0.000 0.750 0.250
Cr 0.000 0.500 0.500
Mn 0.000 0.000 0.000

Properties
Space group = P4/mmm (123)
Raw formation energy = -65.6 kcal/mol of atoms
Crystal system = tetragonal
Total magnetization = 0.282 μB per atom



[7]
Here is a crystal of MgPtCl2 relaxed with PBEsol from Alexandria. Energies are from SCAN.

Lattice parameters (Å, degrees): 3.472 3.472 6.452 90.00 90.00 90.00
Atoms (fractional coordinates):
Mg 0.000 0.000 0.535
Cl 0.500 0.500 0.336
Cl 0.000 0.000 0.934
Pt 0.500 0.500 0.696

Properties
Space group = P4mm (99)
Raw formation energy = -15.3 kcal/mol of atoms
Crystal system = tetragonal
Total magnetization = 0.000 μB per atom



[8]
Here is a crystal of Zr3Cd4 relaxed with PBEsol from Alexandria. Energies are from SCAN.

Lattice parameters (Å, degrees): 3.095 3.095 15.268 95.82 95.82 90.00
Atoms (fractional coordinates):
Zr 0.287 0.287 0.575
Zr 0.000 0.000 0.000
Zr 0.713 0.713 0.425
Cd 0.571 0.571 0.142
Cd 0.429 0.429 0.858
Cd 0.861 0.861 0.722
Cd 0.139 0.139 0.278

Properties
Space group = I4/mmm (139)
Crystal system = tetragonal
DFT formation energy = -0.18 eV per atom
Total magnetization = 0.000 μB per atom



[9]
Here is a crystal of SrGaSi relaxed with PBEsol from Alexandria. Energies are from SCAN.

Lattice parameters (Å, degrees): 4.158 4.158 4.648 90.00 90.00 120.00
Atoms (fractional coordinates):
Si 0.333 0.667 0.500
Sr 0.000 0.000 0.000
Ga 0.667 0.333 0.500

Properties
Space group = P-6m2 (187)
Raw formation energy = -11.9 kcal/mol of atoms
Crystal system = hexagonal
Total magnetization = 0.000 μB per atom



[10]
Here is a crystal of LiPbW2 relaxed with PBEsol from Alexandria. Energies are from SCAN.

Lattice parameters (Å, degrees): 2.888 4.884 4.920 90.00 93.89 90.00
Atoms (fractional coordinates):
Li 0.500 0.500 0.000
Pb 0.000 0.500 0.500
W 0.781 0.000 0.771
W 0.219 0.000 0.229

Properties
Space group = P2/m (10)
Crystal system = monoclinic
DFT formation energy = 0.70 eV per atom
Total magnetization = 0.000 μB per atom



[11]
Here is a crystal of Hf2FeTe2 relaxed with PBEsol from Alexandria. Energies are from SCAN.

Lattice parameters (Å, degrees): 4.080 4.080 7.598 105.57 105.57 90.00
Atoms (fractional coordinates):
Hf 0.401 0.401 0.802
Hf 0.599 0.599 0.198
Te 0.750 0.250 0.500
Te 0.250 0.750 0.500
Fe 0.000 0.000 0.000

Properties
Space group = I4/mmm (139)
Raw formation energy = 11.6 kcal/mol of atoms
Crystal system = tetragonal
Total magnetization = 0.458 μB per atom



[12]
Here is a crystal of K3PH relaxed with PBEsol from Alexandria. Energies are from SCAN.

Lattice parameters (Å, degrees): 6.066 6.066 6.066 90.00 90.00 90.00
Atoms (fractional coordinates):
K 0.000 0.000 0.500
K 0.000 0.500 0.000
K 0.500 0.000 0.000
P 0.000 0.000 0.000
H 0.500 0.500 0.500

Properties
Space group = Pm-3m (221)
Crystal system = cubic
Calculated total energy = -7.670 eV per atom
Total magnetization = 0.200 μB per atom



[13]
Here is a crystal of CaMnTe2 relaxed with PBEsol from Alexandria. Energies are from SCAN.

Lattice parameters (Å, degrees): 4.119 4.525 6.875 90.00 107.43 90.00
Atoms (fractional coordinates):
Mn 0.188 0.500 0.376
Te 0.551 0.500 0.101
Te 0.291 0.000 0.583
Ca 0.969 0.000 0.938

Properties
Space group = Amm2 (38)
Raw formation energy = -24.9 kcal/mol of atoms
Crystal system = orthorhombic
Total magnetization = 1.250 μB per atom



[14]
Here is a crystal of LiHg2I2 relaxed with PBEsol from Alexandria. Energies are from SCAN.

Lattice parameters (Å, degrees): 5.375 8.032 8.032 90.00 90.00 90.00
Atoms (fractional coordinates):
Hg 0.500 0.378 0.122
Hg 0.500 0.622 0.878
Hg 0.500 0.122 0.622
Hg 0.500 0.878 0.378
I 0.000 0.237 0.263
I 0.000 0.263 0.763
I 0.000 0.737 0.237
I 0.000 0.763 0.737
Li 0.000 0.500 0.500
Li 0.000 0.000 0.000

Properties
Space group = P4/mbm (127)
Raw formation energy = -8.9 kcal/mol of atoms
Crystal system = tetragonal
Total magnetization = 0.000 μB per atom



[15]
Here is a crystal of Li6Fe2C4SO16 relaxed with PBEsol from Alexandria. Energies are from SCAN.

Lattice parameters (Å, degrees): 9.233 9.233 9.233 60.00 60.00 60.00
Atoms (fractional coordinates):
O 0.907 0.302 0.755
O 0.948 0.215 0.495
O 0.215 0.343 0.495
O 0.035 0.302 0.907
O 0.215 0.495 0.948
O 0.684 0.684 0.947
O 0.302 0.907 0.035
O 0.343 0.215 0.948
O 0.495 0.215 0.343
O 0.566 0.303 0.566
O 0.684 0.947 0.684
O 0.948 0.343 0.215
O 0.215 0.948 0.343
O 0.302 0.755 0.907
O 0.566 0.566 0.566
O 0.755 0.302 0.035
O 0.035 0.907 0.755
O 0.907 0.755 0.035
O 0.948 0.495 0.343
O 0.947 0.684 0.684
O 0.035 0.755 0.302
O 0.495 0.948 0.215
O 0.907 0.035 0.302
O 0.343 0.948 0.495
O 0.755 0.035 0.907
O 0.343 0.495 0.215
O 0.495 0.343 0.948
O 0.684 0.684 0.684
O 0.302 0.035 0.755
O 0.566 0.566 0.303
O 0.303 0.566 0.566
O 0.755 0.907 0.302
Li 0.716 0.284 0.284
Li 0.534 0.966 0.534
Li 0.534 0.534 0.966
Li 0.966 0.534 0.534
Li 0.284 0.716 0.284
Li 0.534 0.966 0.966
Li 0.284 0.716 0.716
Li 0.716 0.284 0.716
Li 0.966 0.534 0.966
Li 0.966 0.966 0.534
Li 0.284 0.284 0.716
Li 0.716 0.716 0.284
Fe 0.625 0.125 0.125
Fe 0.125 0.625 0.125
Fe 0.125 0.125 0.625
Fe 0.125 0.125 0.125
C 0.948 0.351 0.351
C 0.899 0.302 0.899
C 0.351 0.351 0.351
C 0.899 0.899 0.899
C 0.302 0.899 0.899
C 0.899 0.899 0.302
C 0.351 0.351 0.948
C 0.351 0.948 0.351
S 0.500 0.500 0.500
S 0.750 0.750 0.750

Properties
Space group = Fd-3 (203)
Raw formation energy = -42.1 kcal/mol of atoms
Crystal system = cubic
Total magnetization = 0.276 μB per atom



[16]
Here is a crystal of Cu3Te2 relaxed with PBEsol from Alexandria. Energies are from SCAN.

Lattice parameters (Å, degrees): 3.920 3.920 7.034 90.00 90.00 120.00
Atoms (fractional coordinates):
Te 0.667 0.333 0.219
Te 0.333 0.667 0.781
Cu 0.333 0.667 0.415
Cu 0.000 0.000 0.000
Cu 0.667 0.333 0.585

Properties
Space group = P-3m1 (164)
Raw formation energy = 0.3 kcal/mol of atoms
Crystal system = trigonal
Total magnetization = 0.000 μB per atom



[17]
Here is a crystal of HfMo2CI relaxed with PBEsol from Alexandria. Energies are from SCAN.

Lattice parameters (Å, degrees): 4.036 4.930 4.930 90.00 90.00 90.00
Atoms (fractional coordinates):
C 0.500 0.000 0.000
Hf 0.500 0.500 0.500
Mo 0.000 0.000 0.500
Mo 0.000 0.500 0.000
I 0.000 0.000 0.000

Properties
Space group = P4/mmm (123)
Raw formation energy = 56.2 kcal/mol of atoms
Crystal system = tetragonal
Total magnetization = 0.166 μB per atom



[18]
Here is a crystal of TaH2Pb relaxed with PBEsol from Alexandria. Energies are from SCAN.

Lattice parameters (Å, degrees): 5.076 5.076 5.076 109.26 109.26 109.90
Atoms (fractional coordinates):
H 0.125 0.525 0.900
H 0.475 0.375 0.600
H 0.625 0.225 0.100
H 0.775 0.875 0.400
Pb 0.000 0.000 0.000
Pb 0.250 0.750 0.500
Ta 0.750 0.250 0.500
Ta 0.500 0.500 0.000

Properties
Space group = I-42d (122)
Crystal system = tetragonal
Calculated total energy = -37.020 eV per atom
Total magnetization = 0.000 μB per atom



[19]
Here is a crystal of DyGe2Rh2 relaxed with PBEsol from Alexandria. Energies are from SCAN.

Lattice parameters (Å, degrees): 4.069 4.069 5.868 110.28 110.28 90.00
Atoms (fractional coordinates):
Dy 0.000 0.000 0.000
Ge 0.379 0.379 0.758
Ge 0.621 0.621 0.242
Rh 0.750 0.250 0.500
Rh 0.250 0.750 0.500

Properties
Space group = I4/mmm (139)
Crystal system = tetragonal
DFT formation energy = -1.04 eV per atom
Total magnetization = 0.000 μB per atom



[20]
Here is a crystal of CaCu2Te relaxed with PBEsol from Alexandria. Energies are from SCAN.

Lattice parameters (Å, degrees): 3.701 3.701 5.801 90.00 90.00 90.00
Atoms (fractional coordinates):
Cu 0.000 0.000 0.775
Cu 0.000 0.000 0.225
Ca 0.500 0.500 0.500
Te 0.500 0.500 0.000

Properties
Space group = P4/mmm (123)
Raw formation energy = -2.3 kcal/mol of atoms
Crystal system = tetragonal
Total magnetization = 0.000 μB per atom



[21]
Here is a crystal of AlMoIr2 relaxed with PBEsol from Alexandria. Energies are from SCAN.

Lattice parameters (Å, degrees): 2.777 4.414 4.671 90.00 90.92 90.00
Atoms (fractional coordinates):
Ir 0.864 0.000 0.928
Ir 0.888 0.500 0.299
Al 0.364 0.500 0.824
Mo 0.384 0.000 0.449

Properties
Space group = Pm (6)
Crystal system = monoclinic
DFT formation energy = -0.55 eV per atom
Total magnetization = 0.000 μB per atom



[22]
Here is a crystal of CsBeIr2O relaxed with PBEsol from Alexandria. Energies are from SCAN.

Lattice parameters (Å, degrees): 4.046 4.046 5.279 90.00 90.00 90.00
Atoms (fractional coordinates):
O 0.000 0.000 0.000
Be 0.500 0.500 0.500
Ir 0.000 0.500 0.000
Ir 0.500 0.000 0.000
Cs 0.000 0.000 0.500

Properties
Space group = P4/mmm (123)
Raw formation energy = 26.9 kcal/mol of atoms
Crystal system = tetragonal
Total magnetization = 0.000 μB per atom



[23]
Here is a crystal of SrZrTl2 relaxed with PBEsol from Alexandria. Energies are from SCAN.

Lattice parameters (Å, degrees): 3.546 5.056 6.243 90.00 90.00 90.00
Atoms (fractional coordinates):
Zr 0.000 0.000 0.412
Tl 0.500 0.500 0.329
Tl 0.000 0.000 0.942
Sr 0.500 0.500 0.816

Properties
Space group = Pmm2 (25)
Crystal system = orthorhombic
DFT formation energy = -0.06 eV per atom
Total magnetization = 0.000 μB per atom



[24]
Here is a crystal of AlSiRu relaxed with PBEsol from Alexandria. Energies are from SCAN.

Lattice parameters (Å, degrees): 2.869 2.869 5.900 90.00 90.00 120.00
Atoms (fractional coordinates):
Si 0.667 0.333 0.358
Al 0.000 0.000 0.988
Ru 0.333 0.667 0.655

Properties
Space group = P3m1 (156)
Raw formation energy = -8.9 kcal/mol of atoms
Crystal system = trigonal
Total magnetization = 0.000 μB per atom



[25]
Here is a crystal of CuRhS2 relaxed with PBEsol from Alexandria. Energies are from SCAN.

Lattice parameters (Å, degrees): 3.522 3.522 6.894 75.20 75.20 60.00
Atoms (fractional coordinates):
Rh 0.500 0.500 0.500
Cu 0.000 0.000 0.000
S 0.893 0.893 0.322
S 0.107 0.107 0.678

Properties
Space group = R-3m (166)
Raw formation energy = -10.6 kcal/mol of atoms
Crystal system = trigonal
Total magnetization = 0.000 μB per atom